Below is a relaxed structure of YThNiPt, with properties calculated at the PBE level.

abc: 4.989 4.989 4.989
angles: 60.00 60.00 60.00
Positions (direct):
Y 0.000 0.000 0.000
Ni 0.750 0.750 0.750
Pt 0.250 0.250 0.250
Th 0.500 0.500 0.500

Crystal system: cubic
E above lowest polymorph (meV per atom): 150.8
DFT formation energy (meV/atom): -706
DOS(E_F) (states/eV/atom): 0.808